VASP calculation (PBE with a Hubbard U) on an optimized crystal structure of Na2WSeO6.

Output
- Volume: 135.5 Å³/cell
- Fermi-level density of states: 0.0 states/eV/cell
- Raw total energy: -5.827 eV per atom

Unit cell a=5.579 b=5.579 c=4.352 alpha=90.00 beta=90.00 gamma=90.00
Space group P4mm (No. 99)
Unique sites:
Na (0.000, 0.500, 0.000) x2
W (0.000, 0.000, 0.561) x1
Se (0.500, 0.500, 0.587) x1
O (0.000, 0.000, 0.144) x1
O (0.239, 0.239, 0.646) x4
O (0.500, 0.500, 0.205) x1